[1]
Material: KRbMo2C
Method: DFT, PBE-GGA
State: relaxed

Cell: 4.2070 4.2070 6.1670 Å, 90.00 90.00 90.00°
Element x y z (fractional)
1 K 0.0000 0.0000 0.0000
2 Rb 0.5000 0.5000 0.0000
3 Mo 0.0000 0.5000 0.5000
4 Mo 0.5000 0.0000 0.5000
5 C 0.5000 0.5000 0.5000

Density   5.0 g/cm3
Energy relative to the elements   1.115 eV/atom
Fermi-level density of states   1.13 states/eV per atom
Total moment   0.36 μB per cell
Space-group type   No. 123
Energy   -5.48 eV/atom

---

[2]
Material: NaLi2HgF8
Method: DFT, PBE-GGA
State: relaxed

Cell: 4.7696 6.9000 4.8544 Å, 90.00 90.01 90.00°
Element x y z (fractional)
1 Na 0.0000 0.0000 0.0000
2 Li 0.5000 0.2626 0.5000
3 Li 0.5000 0.7374 0.5000
4 Hg 0.0000 0.5000 0.0000
5 F 0.2236 0.2654 0.1826
6 F 0.2236 0.7346 0.1826
7 F 0.2880 0.5000 0.6685
8 F 0.3248 0.0000 0.6098
9 F 0.6752 0.0000 0.3902
10 F 0.7120 0.5000 0.3315
11 F 0.7764 0.2654 0.8174
12 F 0.7764 0.7346 0.8174

E_form (uncorrected)   -1.7889 eV per atom
Density   4.0 g/cm3
Fermi-level density of states   0.07 states/eV per atom
Total moment   2.96 μB per cell
Space-group type   No. 10
Energy   -3.49 eV/atom

---

[3]
Material: Dy6In5Ag
Method: DFT, PBE-GGA
State: relaxed

Cell: 5.3134 7.4274 8.3941 Å, 90.00 108.14 90.00°
Element x y z (fractional)
1 Dy 0.0000 0.2454 0.0000
2 Dy 0.0000 0.7546 0.0000
3 Dy 0.3356 0.2469 0.6712
4 Dy 0.3356 0.7531 0.6712
5 Dy 0.6644 0.2469 0.3288
6 Dy 0.6644 0.7531 0.3288
7 In 0.1638 0.0000 0.3281
8 In 0.1673 0.5000 0.3348
9 In 0.5000 0.5000 0.0000
10 In 0.8327 0.5000 0.6652
11 In 0.8362 0.0000 0.6719
12 Ag 0.5000 0.0000 0.0000

Density   8.7 g/cm3
Energy relative to the elements   -0.441 eV/atom
Fermi-level density of states   0.83 states/eV per atom
Total moment   0.00 μB per cell
Space-group type   No. 10
Energy   -4.12 eV/atom

---

[4]
Material: Zr3Mn
Method: DFT, PBE-GGA
State: relaxed

Cell: 9.6438 9.6438 3.0589 Å, 90.00 90.00 120.00°
Element x y z (fractional)
1 Zr 0.0000 0.5000 0.0000
2 Zr 0.1667 0.3333 0.3333
3 Zr 0.1667 0.8333 0.3333
4 Zr 0.3333 0.1667 0.6667
5 Zr 0.5000 0.0000 0.0000
6 Zr 0.5000 0.5000 0.0000
7 Zr 0.6667 0.8333 0.3333
8 Zr 0.8333 0.1667 0.6667
9 Zr 0.8333 0.6667 0.6667
10 Mn 0.0000 0.0000 0.0000
11 Mn 0.3333 0.6667 0.6667
12 Mn 0.6667 0.3333 0.3333

Density   6.6 g/cm3
Energy relative to the elements   0.211 eV/atom
Fermi-level density of states   1.83 states/eV per atom
Total moment   6.72 μB per cell
Space-group type   No. 166
Energy   -8.49 eV/atom

---

[5]
Material: Dy9Sc4Cd11
Method: DFT, PBE-GGA
State: relaxed

Cell: 13.7432 13.7432 3.4488 Å, 90.00 90.00 111.38°
Element x y z (fractional)
1 Dy 0.0000 0.0000 0.0000
2 Dy 0.1290 0.6463 0.0000
3 Dy 0.2898 0.4534 0.0000
4 Dy 0.3537 0.8710 0.0000
5 Dy 0.4534 0.2898 0.0000
6 Dy 0.5466 0.7102 0.0000
7 Dy 0.6463 0.1290 0.0000
8 Dy 0.7102 0.5466 0.0000
9 Dy 0.8710 0.3537 0.0000
10 Sc 0.0560 0.2455 0.0000
11 Sc 0.2455 0.0560 0.0000
12 Sc 0.7545 0.9440 0.0000
13 Sc 0.9440 0.7545 0.0000
14 Cd 0.0849 0.4400 0.5000
15 Cd 0.1372 0.8628 0.5000
16 Cd 0.2296 0.2296 0.5000
17 Cd 0.3355 0.6645 0.5000
18 Cd 0.4400 0.0849 0.5000
19 Cd 0.5000 0.5000 0.5000
20 Cd 0.5600 0.9151 0.5000
21 Cd 0.6645 0.3355 0.5000
22 Cd 0.7704 0.7704 0.5000
23 Cd 0.8628 0.1372 0.5000
24 Cd 0.9151 0.5600 0.5000

Density   7.9 g/cm3
Energy relative to the elements   -0.227 eV/atom
Fermi-level density of states   0.99 states/eV per atom
Total moment   0.67 μB per cell
Space-group type   No. 65
Energy   -3.43 eV/atom

---

[6]
Material: TeSeIN2
Method: DFT, PBE-GGA
State: relaxed

Cell: 4.0107 4.0107 7.4923 Å, 90.00 90.00 90.00°
Element x y z (fractional)
1 Te 0.0000 0.0000 0.0000
2 Se 0.5000 0.5000 0.0000
3 I 0.5000 0.5000 0.5000
4 N 0.0000 0.5000 0.5000
5 N 0.5000 0.0000 0.5000

E_form (uncorrected)   1.6857 eV per atom
Density   5.0 g/cm3
Fermi-level density of states   0.71 states/eV per atom
Total moment   0.00 μB per cell
Space-group type   No. 123
Energy   -3.28 eV/atom

---

[7]
Material: Nd9SmTm2
Method: DFT, PBE-GGA
State: relaxed

Cell: 5.1519 5.1519 15.4602 Å, 90.00 90.00 90.00°
Element x y z (fractional)
1 Nd 0.0000 0.0000 0.0000
2 Nd 0.0000 0.0000 0.3350
3 Nd 0.0000 0.0000 0.6650
4 Nd 0.0000 0.5000 0.1686
5 Nd 0.0000 0.5000 0.5000
6 Nd 0.0000 0.5000 0.8314
7 Nd 0.5000 0.0000 0.1686
8 Nd 0.5000 0.0000 0.5000
9 Nd 0.5000 0.0000 0.8314
10 Sm 0.5000 0.5000 0.0000
11 Tm 0.5000 0.5000 0.3345
12 Tm 0.5000 0.5000 0.6655

Density   7.2 g/cm3
Energy relative to the elements   0.016 eV/atom
Fermi-level density of states   1.69 states/eV per atom
Total moment   0.00 μB per cell
Space-group type   No. 123
Energy   -4.70 eV/atom

---

[8]
Material: LaDy3Tm
Method: DFT, PBE-GGA
State: relaxed

Cell: 6.1807 6.1968 9.4524 Å, 70.87 71.19 80.50°
Element x y z (fractional)
1 La 0.2494 0.0495 0.1513
2 La 0.7506 0.9505 0.8487
3 Dy 0.2488 0.4504 0.3528
4 Dy 0.2518 0.6478 0.9483
5 Dy 0.2517 0.8503 0.5502
6 Dy 0.7483 0.1497 0.4498
7 Dy 0.7482 0.3522 0.0517
8 Dy 0.7512 0.5496 0.6472
9 Tm 0.2523 0.2558 0.7459
10 Tm 0.7477 0.7442 0.2541

Density   8.2 g/cm3
Energy relative to the elements   0.028 eV/atom
Fermi-level density of states   1.46 states/eV per atom
Total moment   0.00 μB per cell
Space-group type   No. 2
Energy   -4.61 eV/atom

---

[9]
Material: PmGd2Tc
Method: DFT, PBE-GGA
State: relaxed

Cell: 3.4642 3.4642 9.1473 Å, 90.00 90.00 90.00°
Element x y z (fractional)
1 Pm 0.0000 0.0000 0.0000
2 Gd 0.5000 0.5000 0.3165
3 Gd 0.5000 0.5000 0.6835
4 Tc 0.0000 0.0000 0.5000

Density   8.4 g/cm3
Energy relative to the elements   0.044 eV/atom
Fermi-level density of states   1.42 states/eV per atom
Total moment   14.08 μB per cell
Space-group type   No. 123
Energy   -10.78 eV/atom

---

[10]
Material: LaCuIr4
Method: DFT, PBE-GGA
State: relaxed

Cell: 5.3288 5.3288 5.3288 Å, 60.00 60.00 60.00°
Element x y z (fractional)
1 La 0.0000 0.0000 0.0000
2 Cu 0.7500 0.7500 0.7500
3 Ir 0.3754 0.3754 0.3754
4 Ir 0.3754 0.3754 0.8739
5 Ir 0.3754 0.8739 0.3754
6 Ir 0.8739 0.3754 0.3754

Density   15.1 g/cm3
Energy relative to the elements   -0.127 eV/atom
Fermi-level density of states   1.10 states/eV per atom
Total moment   0.00 μB per cell
Space-group type   No. 216
Energy   -7.54 eV/atom

---

[11]
Material: Pu3Cr5S12
Method: DFT, PBE-GGA
State: relaxed

Cell: 12.8357 12.8357 12.8357 Å, 109.47 109.47 109.47°
Element x y z (fractional)
1 Pu 0.1250 0.2500 0.3750
2 Pu 0.1250 0.3750 0.7500
3 Pu 0.2500 0.3750 0.1250
4 Pu 0.2500 0.8750 0.6250
5 Pu 0.3750 0.1250 0.2500
6 Pu 0.3750 0.7500 0.1250
7 Pu 0.6250 0.2500 0.8750
8 Pu 0.6250 0.8750 0.7500
9 Pu 0.7500 0.1250 0.3750
10 Pu 0.7500 0.6250 0.8750
11 Pu 0.8750 0.6250 0.2500
12 Pu 0.8750 0.7500 0.6250
13 Cr 0.0000 0.0000 0.0000
14 Cr 0.0000 0.0000 0.5000
15 Cr 0.0000 0.5000 0.0000
16 Cr 0.0000 0.5000 0.5000
17 Cr 0.1250 0.7500 0.8750
18 Cr 0.1250 0.8750 0.2500
19 Cr 0.2500 0.1250 0.8750
20 Cr 0.2500 0.6250 0.3750
21 Cr 0.3750 0.2500 0.6250
22 Cr 0.3750 0.6250 0.7500
23 Cr 0.5000 0.0000 0.0000
24 Cr 0.5000 0.0000 0.5000
25 Cr 0.5000 0.5000 0.0000
26 Cr 0.5000 0.5000 0.5000
27 Cr 0.6250 0.3750 0.2500
28 Cr 0.6250 0.7500 0.3750
29 Cr 0.7500 0.3750 0.6250
30 Cr 0.7500 0.8750 0.1250
31 Cr 0.8750 0.1250 0.7500
32 Cr 0.8750 0.2500 0.1250
33 S 0.0307 0.2086 0.1197
34 S 0.0307 0.3221 0.9111
35 S 0.0889 0.6197 0.4111
36 S 0.0889 0.7086 0.6779
37 S 0.0889 0.8803 0.4111
38 S 0.0889 0.9693 0.6779
39 S 0.1197 0.0307 0.2086
40 S 0.1197 0.5889 0.9111
41 S 0.1779 0.2086 0.5889
42 S 0.1779 0.4693 0.5889
43 S 0.2086 0.1197 0.0307
44 S 0.2086 0.5889 0.1779
45 S 0.2914 0.3221 0.9111
46 S 0.2914 0.4693 0.3803
47 S 0.3221 0.9111 0.0307
48 S 0.3221 0.9111 0.2914
49 S 0.3803 0.2914 0.4693
50 S 0.3803 0.5889 0.9111
51 S 0.4111 0.0889 0.6197
52 S 0.4111 0.0889 0.8803
53 S 0.4111 0.8221 0.5307
54 S 0.4111 0.8221 0.7914
55 S 0.4693 0.3803 0.2914
56 S 0.4693 0.5889 0.1779
57 S 0.5307 0.4111 0.8221
58 S 0.5307 0.6197 0.7086
59 S 0.5889 0.1779 0.2086
60 S 0.5889 0.1779 0.4693
61 S 0.5889 0.9111 0.1197
62 S 0.5889 0.9111 0.3803
63 S 0.6197 0.4111 0.0889
64 S 0.6197 0.7086 0.5307
65 S 0.6779 0.0889 0.7086
66 S 0.6779 0.0889 0.9693
67 S 0.7086 0.5307 0.6197
68 S 0.7086 0.6779 0.0889
69 S 0.7914 0.4111 0.8221
70 S 0.7914 0.8803 0.9693
71 S 0.8221 0.5307 0.4111
72 S 0.8221 0.7914 0.4111
73 S 0.8803 0.4111 0.0889
74 S 0.8803 0.9693 0.7914
75 S 0.9111 0.0307 0.3221
76 S 0.9111 0.1197 0.5889
77 S 0.9111 0.2914 0.3221
78 S 0.9111 0.3803 0.5889
79 S 0.9693 0.6779 0.0889
80 S 0.9693 0.7914 0.8803

E_form (uncorrected)   -0.9851 eV per atom
Density   5.6 g/cm3
Fermi-level density of states   1.22 states/eV per atom
Total moment   120.00 μB per cell
Space-group type   No. 230
Energy   -8.02 eV/atom

---

[12]
Material: DyPuS2
Method: DFT, PBE-GGA
State: relaxed

Cell: 3.8770 3.8770 13.3438 Å, 90.00 90.00 120.00°
Element x y z (fractional)
1 Dy 0.0000 0.0000 0.0000
2 Dy 0.0000 0.0000 0.5000
3 Pu 0.3333 0.6667 0.2500
4 Pu 0.6667 0.3333 0.7500
5 S 0.3333 0.6667 0.6199
6 S 0.3333 0.6667 0.8801
7 S 0.6667 0.3333 0.1199
8 S 0.6667 0.3333 0.3801

E_form (uncorrected)   -1.8595 eV per atom
Density   9.0 g/cm3
Fermi-level density of states   2.38 states/eV per atom
Total moment   11.86 μB per cell
Space-group type   No. 194
Energy   -8.66 eV/atom